<one>
# NdSm4Y PBE relaxed
data_NdSm4Y
_chemical_formula_sum 'Nd4 Sm16 Y4'
_cell_length_a 9.445
_cell_length_b 9.445
_cell_length_c 9.445
_cell_angle_alpha 90.00
_cell_angle_beta 90.00
_cell_angle_gamma 90.00
_space_group_name_H-M_alt 'F -4 3 m'
_space_group_IT_number 216
_space_group_name_Hall 'F -4 2 3'
loop_
_atom_site_label
_atom_site_type_symbol
_atom_site_fract_x
_atom_site_fract_y
_atom_site_fract_z
_atom_site_occupancy
Nd1 Nd 0.000 0.000 0.000 1
Sm1 Sm 0.124 0.124 0.624 1
Y1 Y 0.250 0.250 0.250 1
# - spin magnetization (μB per formula unit) = 0.0


<two>
# NdSm4Y PBE relaxed
data_NdSm4Y
_chemical_formula_sum 'Nd2 Sm8 Y2'
_cell_length_a 11.495
_cell_length_b 5.127
_cell_length_c 7.255
_cell_angle_alpha 90.00
_cell_angle_beta 108.48
_cell_angle_gamma 90.00
_space_group_name_H-M_alt 'C 1 2/m 1'
_space_group_IT_number 12
loop_
_space_group_symop_operation_xyz
'x,y,z'
'-x,-y,-z'
'-x,y,-z'
'x,-y,z'
'x+1/2,y+1/2,z'
'-x+1/2,-y+1/2,-z'
'-x+1/2,y+1/2,-z'
'x+1/2,-y+1/2,z'
loop_
_atom_site_label
_atom_site_type_symbol
_atom_site_fract_x
_atom_site_fract_y
_atom_site_fract_z
_atom_site_occupancy
Nd1 Nd 0.000 0.000 0.000 1
Sm1 Sm 0.166 0.500 0.833 1
Sm2 Sm 0.167 0.500 0.334 1
Y1 Y 0.000 0.000 0.500 1
# - spin magnetization (μB per formula unit) = 0.0


Among the structures above, stability is greatest for <two>.